This record from the Alexandria database describes a geometry-optimized LaV2WO8 structure. The functional is GGA+U.

Calculated values
**DFT total energy**: -7.794 eV per atom

```
LaV2WO8
1.0
-0.648 2.881 -3.744
2.967 -2.549 -2.723
-5.083 -3.764 -2.018
O La V W
8 1 2 1
Cartesian
1.161 -2.204 -3.351
-4.412 -3.666 -3.893
-1.773 -1.768 -3.160
-0.952 0.973 -3.954
-1.812 -4.405 -4.531
1.648 0.234 -4.592
-0.991 -1.664 -5.325
-3.925 -1.228 -5.134
-2.542 -1.882 -1.009
-0.125 -0.785 -3.744
-2.640 -2.647 -4.741
0.000 0.000 0.000
```